Entry 1:
LaSi2Tc | GGA-PBE | optimized geometry

Properties
Electronic total energy in eV/cell: -54.7
Fermi-level density of states in states/eV per cell: 4.51
Raw formation energy in eV/atom: -0.3070
Excess energy over the best structure of this formula in the dataset in meV/atom: 353

abc: 4.9364 4.9364 8.5583
angles: 73.24 73.24 90.00
Sites, in units of the cell vectors:
Si (0.3764, 0.1250, 0.2500)
Si (0.3736, 0.6250, 0.2500)
Si (0.3750, 0.6236, 0.7500)
Si (0.8750, 0.6264, 0.7500)
Tc (0.5000, 0.5000, 0.0000)
Tc (0.2500, 0.7500, 0.5000)
La (0.0000, 0.0000, 0.0000)
La (0.7500, 0.2500, 0.5000)

---

Entry 2:
La2Si4Tc3 | GGA-PBE | optimized geometry

Properties
Electronic total energy in eV/cell: -65.9
Fermi-level density of states in states/eV per cell: 8.66
Raw formation energy in eV/atom: -0.3664

abc: 5.7399 5.7399 6.7575
angles: 100.93 100.93 123.62
Last column: magnetic moment on the atom in μB.
Sites, in units of the cell vectors:
La (0.6393, 0.6393, 0.2786)  -0.01
La (0.3607, 0.3607, 0.7214)  -0.01
Si (0.0302, 0.6537, 0.6839)  0.00
Si (0.6537, 0.0302, 0.6839)  0.00
Si (0.9698, 0.3463, 0.3161)  0.00
Si (0.3463, 0.9698, 0.3161)  0.00
Tc (0.5000, 0.0000, 0.0000)  0.25
Tc (0.0000, 0.0000, 0.0000)  0.57
Tc (0.0000, 0.5000, 0.0000)  0.25

---

Entry 3:
LaSiTc3 | GGA-PBE | optimized geometry

Properties
Electronic total energy in eV/cell: -29.8
Fermi-level density of states in states/eV per cell: 8.71
Raw formation energy in eV/atom: 2.3337
Excess energy over the best structure of this formula in the dataset in meV/atom: 1976

abc: 4.8200 4.8200 4.8200
angles: 90.00 90.00 90.00
Last column: magnetic moment on the atom in μB.
Sites, in units of the cell vectors:
Si (0.5000, 0.5000, 0.5000)  -0.04
Tc (0.0000, 0.5000, 0.0000)  1.28
Tc (0.0000, 0.0000, 0.5000)  1.39
Tc (0.5000, 0.0000, 0.0000)  1.09
La (0.0000, 0.0000, 0.0000)  0.07

---

Entry 4:
LaSi2Tc | GGA-PBE | optimized geometry

Properties
Electronic total energy in eV/cell: -25.5
Fermi-level density of states in states/eV per cell: 4.17
Raw formation energy in eV/atom: 0.1687
Excess energy over the best structure of this formula in the dataset in meV/atom: 829

abc: 4.7515 4.7515 3.5353
angles: 90.00 90.00 108.00
Sites, in units of the cell vectors:
La (0.0000, 0.5000, 0.5000)
Si (0.0000, 0.0000, 0.0000)
Si (0.5000, 0.5000, 0.0000)
Tc (0.5000, 0.0000, 0.5000)

---

Entry 5:
LaSiTc2 | GGA-PBE | optimized geometry

Properties
Electronic total energy in eV/cell: -31.3
Fermi-level density of states in states/eV per cell: 4.70
Raw formation energy in eV/atom: -0.0534

abc: 4.4248 3.2496 5.4033
angles: 75.53 90.00 90.00
Sites, in units of the cell vectors:
La (0.0000, 0.5001, 0.5287)
Si (0.5000, 0.8873, 0.7938)
Tc (0.0000, 0.8680, 0.0319)
Tc (0.5000, 0.2447, 0.1457)

---

Entry 6:
La4SiTc | GGA-PBE | optimized geometry

Properties
Electronic total energy in eV/cell: -30.7
Fermi-level density of states in states/eV per cell: 8.59
Raw formation energy in eV/atom: 0.8021
Excess energy over the best structure of this formula in the dataset in meV/atom: 1071

abc: 6.2094 6.2094 6.2094
angles: 60.00 60.00 60.00
Last column: magnetic moment on the atom in μB.
Sites, in units of the cell vectors:
La (0.3747, 0.8759, 0.3747)  -0.08
La (0.8759, 0.3747, 0.3747)  -0.08
La (0.3747, 0.3747, 0.8759)  -0.08
La (0.3747, 0.3747, 0.3747)  -0.08
Si (0.7500, 0.7500, 0.7500)  0.01
Tc (0.0000, 0.0000, 0.0000)  1.64

---

Entry 7:
La2SiTcTe | GGA-PBE | optimized geometry

Properties
Electronic total energy in eV/cell: -30.2
Fermi-level density of states in states/eV per cell: 3.45
Raw formation energy in eV/atom: -0.2901

abc: 5.7400 4.4761 5.7400
angles: 90.00 90.00 90.00
Last column: magnetic moment on the atom in μB.
Sites, in units of the cell vectors:
Si (0.0000, 0.0000, 0.0000)  0.00
Te (0.5000, 0.5000, 0.5000)  0.05
Tc (0.0000, 0.5000, 0.0000)  0.87
La (0.0000, 0.0000, 0.5000)  -0.03
La (0.5000, 0.0000, 0.0000)  -0.04

---

Entry 8:
LaY2SiTc | GGA-PBE | optimized geometry

Properties
Electronic total energy in eV/cell: -27.7
Fermi-level density of states in states/eV per cell: 5.81
Raw formation energy in eV/atom: 1.1972

abc: 5.5403 4.6285 5.5403
angles: 90.00 90.00 90.00
Sites, in units of the cell vectors:
Y (0.0000, 0.0000, 0.5000)
Y (0.5000, 0.0000, 0.0000)
Si (0.5000, 0.5000, 0.5000)
Tc (0.0000, 0.5000, 0.0000)
La (0.0000, 0.0000, 0.0000)

---

Entry 9:
La2ZnSiTc | GGA-PBE | optimized geometry

Properties
Electronic total energy in eV/cell: -26.2
Fermi-level density of states in states/eV per cell: 4.85
Raw formation energy in eV/atom: 0.1466

abc: 5.7000 4.4581 5.7000
angles: 90.00 90.00 90.00
Sites, in units of the cell vectors:
Zn (0.5000, 0.5000, 0.5000)
Si (0.0000, 0.0000, 0.0000)
Tc (0.0000, 0.5000, 0.0000)
La (0.0000, 0.0000, 0.5000)
La (0.5000, 0.0000, 0.0000)

---

Entry 10:
La3Si5Te12 | GGA-PBE | optimized geometry

Properties
Electronic total energy in eV/cell: -359.9
Fermi-level density of states in states/eV per cell: 18.47
Raw formation energy in eV/atom: -0.5192

abc: 15.0106 15.0106 15.0106
angles: 109.47 109.47 109.47
Sites, in units of the cell vectors:
La (0.7500, 0.3750, 0.1250)
La (0.8750, 0.7500, 0.1250)
La (0.3750, 0.7500, 0.6250)
La (0.2500, 0.1250, 0.3750)
La (0.8750, 0.1250, 0.2500)
La (0.3750, 0.6250, 0.2500)
La (0.6250, 0.3750, 0.7500)
La (0.1250, 0.8750, 0.7500)
La (0.7500, 0.8750, 0.6250)
La (0.6250, 0.2500, 0.3750)
La (0.1250, 0.2500, 0.8750)
La (0.2500, 0.6250, 0.8750)
Si (0.1250, 0.3750, 0.2500)
Si (0.0000, 0.5000, 0.0000)
Si (0.0000, 0.0000, 0.0000)
Si (0.3750, 0.2500, 0.1250)
Si (0.5000, 0.0000, 0.5000)
Si (0.5000, 0.5000, 0.0000)
Si (0.1250, 0.7500, 0.3750)
Si (0.7500, 0.1250, 0.8750)
Si (0.7500, 0.6250, 0.3750)
Si (0.3750, 0.1250, 0.7500)
Si (0.6250, 0.8750, 0.2500)
Si (0.5000, 0.5000, 0.5000)
Si (0.5000, 0.0000, 0.0000)
Si (0.0000, 0.0000, 0.5000)
Si (0.2500, 0.3750, 0.6250)
Si (0.2500, 0.8750, 0.1250)
Si (0.0000, 0.5000, 0.5000)
Si (0.8750, 0.2500, 0.6250)
Si (0.6250, 0.7500, 0.8750)
Si (0.8750, 0.6250, 0.7500)
Te (0.7086, 0.1215, 0.0290)
Te (0.3204, 0.5290, 0.4075)
Te (0.9710, 0.3785, 0.2914)
Te (0.5290, 0.2086, 0.1215)
Te (0.5870, 0.7086, 0.6796)
Te (0.9710, 0.5925, 0.1796)
Te (0.3204, 0.7914, 0.4130)
Te (0.0925, 0.9130, 0.1215)
Te (0.5925, 0.9710, 0.6796)
Te (0.7086, 0.5870, 0.1796)
Te (0.7914, 0.4710, 0.3785)
Te (0.8204, 0.9075, 0.0290)
Te (0.1215, 0.7086, 0.5290)
Te (0.3785, 0.4075, 0.0870)
Te (0.0870, 0.9075, 0.3785)
Te (0.4130, 0.1215, 0.5925)
Te (0.0870, 0.1796, 0.2086)
Te (0.4710, 0.6796, 0.0925)
Te (0.8204, 0.9130, 0.2914)
Te (0.1215, 0.4130, 0.0925)
Te (0.3785, 0.9710, 0.7914)
Te (0.5925, 0.6215, 0.4130)
Te (0.9075, 0.8204, 0.5290)
Te (0.7914, 0.3204, 0.9130)
Te (0.4075, 0.3785, 0.5870)
Te (0.0925, 0.1796, 0.4710)
Te (0.2086, 0.6796, 0.0870)
Te (0.1796, 0.0870, 0.7086)
Te (0.6215, 0.0290, 0.2086)
Te (0.8785, 0.5870, 0.9075)
Te (0.5290, 0.3204, 0.9075)
Te (0.5870, 0.8785, 0.4075)
Te (0.9130, 0.8204, 0.7914)
Te (0.9130, 0.0925, 0.6215)
Te (0.8785, 0.2914, 0.4710)
Te (0.1796, 0.0925, 0.9710)
Te (0.6215, 0.5925, 0.9130)
Te (0.4075, 0.0290, 0.3204)
Te (0.2914, 0.4130, 0.8204)
Te (0.2086, 0.5290, 0.6215)
Te (0.9075, 0.0870, 0.8785)
Te (0.6796, 0.2086, 0.5870)
Te (0.4710, 0.7914, 0.8785)
Te (0.0290, 0.4075, 0.8204)
Te (0.4130, 0.2914, 0.3204)
Te (0.0290, 0.6215, 0.7086)
Te (0.6796, 0.4710, 0.5925)
Te (0.2914, 0.8785, 0.9710)

---

Entry 11:
La2SiTe | GGA-PBE | optimized geometry

Properties
Electronic total energy in eV/cell: -21.9
Fermi-level density of states in states/eV per cell: 2.49
Raw formation energy in eV/atom: -0.8793
Excess energy over the best structure of this formula in the dataset in meV/atom: 288

abc: 5.2949 5.2949 5.2949
angles: 114.63 114.63 99.59
Sites, in units of the cell vectors:
La (0.0000, 0.0000, 0.0000)
La (0.5000, 0.5000, 0.0000)
Si (0.2500, 0.7500, 0.5000)
Te (0.7500, 0.2500, 0.5000)

---

Entry 12:
LaSi3Te | GGA-PBE | optimized geometry

Properties
Electronic total energy in eV/cell: -17.6
Fermi-level density of states in states/eV per cell: 6.11
Raw formation energy in eV/atom: 1.3543
Excess energy over the best structure of this formula in the dataset in meV/atom: 663

abc: 5.5639 5.5639 5.5639
angles: 90.00 90.00 90.00
Sites, in units of the cell vectors:
Si (0.0000, 0.5000, 0.0000)
Si (0.0000, 0.0000, 0.5000)
Si (0.5000, 0.0000, 0.0000)
Te (0.5000, 0.5000, 0.5000)
La (0.0000, 0.0000, 0.0000)

---

The lowest raw formation energy belongs to which entry? La2SiTe

---

What did the second record say?
La2Si4Tc3 | GGA-PBE | optimized geometry

Properties
Electronic total energy in eV/cell: -65.9
Fermi-level density of states in states/eV per cell: 8.66
Raw formation energy in eV/atom: -0.3664

abc: 5.7399 5.7399 6.7575
angles: 100.93 100.93 123.62
Last column: magnetic moment on the atom in μB.
Sites, in units of the cell vectors:
La (0.6393, 0.6393, 0.2786)  -0.01
La (0.3607, 0.3607, 0.7214)  -0.01
Si (0.0302, 0.6537, 0.6839)  0.00
Si (0.6537, 0.0302, 0.6839)  0.00
Si (0.9698, 0.3463, 0.3161)  0.00
Si (0.3463, 0.9698, 0.3161)  0.00
Tc (0.5000, 0.0000, 0.0000)  0.25
Tc (0.0000, 0.0000, 0.0000)  0.57
Tc (0.0000, 0.5000, 0.0000)  0.25

---

What is the formula in the ninth record? La2ZnSiTc